No. 1
A plane-wave DFT calculation with GGA-PBE was carried out for a geometry-optimized BaLi2IrCl8 structure.

Output
Formation energy (no corrections), kJ per mole of atoms: -133.07
SG: P-1 (2)
Fermi-level density of states, states/eV/cell: 6.67

abc: 6.068 6.935 8.725
angles: 64.18 88.95 95.12
Last column: magnetic moment on the atom in μB.
Fractional coordinates of all 12 atoms:
1 Cl 0.086 0.745 0.274  0.00
2 Cl 0.157 0.800 0.877  0.06
3 Cl 0.545 0.722 0.553  0.00
4 Cl 0.843 0.200 0.123  0.06
5 Cl 0.455 0.278 0.447  0.00
6 Cl 0.663 0.797 0.030  0.10
7 Cl 0.337 0.203 0.970  0.10
8 Cl 0.914 0.255 0.726  0.00
9 Li 0.523 0.340 0.690  0.00
10 Li 0.477 0.660 0.310  0.00
11 Ir 0.000 0.000 0.000  0.61
12 Ba 0.000 0.000 0.500  0.00



No. 2
A plane-wave DFT calculation with GGA-PBE was carried out for a geometry-optimized LaPbS3 structure.

Output
Energy above the most stable polymorph in this dataset, eV/atom: 0.495
Formation energy (no corrections), kJ per mole of atoms: -58.51
SG: Pm-3m (221)
Fermi-level density of states, states/eV/cell: 6.73

abc: 5.451 5.451 5.451
angles: 90.00 90.00 90.00
Fractional coordinates of all 5 atoms:
1 S 0.500 0.000 0.000
2 S 0.000 0.500 0.000
3 S 0.000 0.000 0.500
4 Pb 0.500 0.500 0.500
5 La 0.000 0.000 0.000